A plane-wave DFT calculation with meta-GGA SCAN was carried out for a PBEsol-optimized structure of Tc2PtW.

a b c (Å): 3.243 3.243 5.615
angles (deg): 90.00 90.00 90.00
Element x y z (fractional)
1 Tc 0.000 0.000 0.248
2 Tc 0.000 0.000 0.752
3 Pt 0.500 0.500 0.500
4 W 0.500 0.500 0.000

Values from the calculation:
crystal system = tetragonal
V = 59.1 Å³/f.u.
energy above the most stable polymorph in this dataset = 0.2623 eV per atom